Here is a geometry-optimized SrTcTe2 structure from Alexandria via LeMat-Bulk. Energies are from GGA-PBE.

Values from the calculation:
SG: Amm2, No. 38
Distance to the lowest polymorph of the same formula (eV/atom): 0.079
E_form (uncorrected) (meV/atom): -421

Unit cell a=4.814 b=6.436 c=6.436 alpha=39.45 beta=90.00 gamma=90.00
Fractional positions:
Sr: 0.000 0.000 0.000
Tc: 0.500 0.792 0.792
Te: 0.000 0.713 0.713
Te: 0.500 0.415 0.415